Entry 1:
Pr2MgNi4Ge3 after structural relaxation, computed with GGA-PBE.

a b c (Å): 4.185 4.185 9.947
angles (deg): 90.00 90.00 90.00
Element x y z (fractional)
Pr1 0.000 0.500 0.240
Pr2 0.500 0.000 0.760
Mg1 0.000 0.000 0.500
Ni1 0.000 0.000 0.000
Ni2 0.000 0.500 0.638
Ni3 0.500 0.000 0.362
Ni4 0.500 0.500 0.000
Ge1 0.000 0.500 0.877
Ge2 0.500 0.000 0.123
Ge3 0.500 0.500 0.500

Fermi-level density of states   6.62 states/eV/f.u.
DFT formation energy   -6.0 eV/f.u.

=====

Entry 2:
PrMgNiGe2 after structural relaxation, computed with GGA-PBE.

a b c (Å): 5.254 6.266 6.018
angles (deg): 90.00 90.00 90.00
Element x y z (fractional)
Pr1 0.250 0.000 0.234
Pr2 0.750 0.000 0.766
Mg1 0.250 0.500 0.367
Mg2 0.750 0.500 0.633
Ni1 0.000 0.500 0.000
Ni2 0.500 0.500 0.000
Ge1 0.250 0.270 0.758
Ge2 0.250 0.730 0.758
Ge3 0.750 0.270 0.242
Ge4 0.750 0.730 0.242

Fermi-level density of states   2.46 states/eV/f.u.
DFT formation energy   -2.2 eV/f.u.

=====

Entry 3:
Pu2MgNi4Ge3 after structural relaxation, computed with GGA-PBE.

a b c (Å): 4.035 4.035 10.253
angles (deg): 90.00 90.00 90.00
Element x y z (fractional)
Pu1 0.000 0.500 0.242
Pu2 0.500 0.000 0.758
Mg1 0.000 0.000 0.500
Ni1 0.000 0.000 0.000
Ni2 0.000 0.500 0.645
Ni3 0.500 0.000 0.355
Ni4 0.500 0.500 0.000
Ge1 0.000 0.500 0.874
Ge2 0.500 0.000 0.126
Ge3 0.500 0.500 0.500

Fermi-level density of states   27.49 states/eV/f.u.
DFT formation energy   -4.2 eV/f.u.

=====

Entry 4:
PuMgNiGe2 after structural relaxation, computed with GGA-PBE.

a b c (Å): 5.406 5.854 5.804
angles (deg): 90.00 90.00 90.00
Element x y z (fractional)
Pu1 0.250 0.000 0.247
Pu2 0.750 0.000 0.753
Mg1 0.250 0.500 0.381
Mg2 0.750 0.500 0.619
Ni1 0.000 0.500 0.000
Ni2 0.500 0.500 0.000
Ge1 0.250 0.234 0.770
Ge2 0.250 0.766 0.770
Ge3 0.750 0.234 0.230
Ge4 0.750 0.766 0.230

Fermi-level density of states   9.79 states/eV/f.u.
DFT formation energy   -1.5 eV/f.u.

=====

Entry 5:
PuMgNiGe after structural relaxation, computed with GGA-PBE.

a b c (Å): 4.720 4.720 4.720
angles (deg): 60.00 60.00 60.00
Element x y z (fractional)
Pu1 0.000 0.000 0.000
Mg1 0.500 0.500 0.500
Ni1 0.750 0.750 0.750
Ge1 0.250 0.250 0.250

Fermi-level density of states   9.56 states/eV/f.u.
DFT formation energy   -0.8 eV/f.u.

=====

Entry 6:
MgRe2NiGe after structural relaxation, computed with GGA-PBE.

a b c (Å): 4.613 4.613 4.283
angles (deg): 90.00 90.00 90.00
Element x y z (fractional)
Mg1 0.000 0.000 0.000
Re1 0.000 0.500 0.500
Re2 0.500 0.000 0.500
Ni1 0.500 0.500 0.500
Ge1 0.500 0.500 0.000

Fermi-level density of states   6.61 states/eV/f.u.
DFT formation energy   6.5 eV/f.u.

=====

Entry 7:
Mg2NiGe2Rh after structural relaxation, computed with GGA-PBE.

a b c (Å): 7.388 7.388 7.388
angles (deg): 135.24 66.05 134.10
Element x y z (fractional)
Mg1 0.159 0.245 0.404
Mg2 0.341 0.745 0.086
Mg3 0.659 0.255 0.914
Mg4 0.841 0.755 0.596
Ni1 0.250 0.750 0.500
Ni2 0.750 0.250 0.500
Ge1 0.118 0.736 0.854
Ge2 0.382 0.236 0.618
Ge3 0.618 0.764 0.382
Ge4 0.882 0.264 0.146
Rh1 0.250 0.250 0.000
Rh2 0.750 0.750 0.000

Fermi-level density of states   3.73 states/eV/f.u.
DFT formation energy   -2.6 eV/f.u.

=====

Entry 8:
Mg2NiGe2Ru after structural relaxation, computed with GGA-PBE.

a b c (Å): 7.308 7.308 7.308
angles (deg): 134.48 68.08 132.28
Element x y z (fractional)
Mg1 0.157 0.248 0.405
Mg2 0.343 0.748 0.090
Mg3 0.657 0.252 0.910
Mg4 0.843 0.752 0.595
Ni1 0.250 0.250 0.000
Ni2 0.750 0.750 0.000
Ge1 0.114 0.754 0.868
Ge2 0.386 0.254 0.639
Ge3 0.614 0.746 0.361
Ge4 0.886 0.246 0.132
Ru1 0.250 0.750 0.500
Ru2 0.750 0.250 0.500

Fermi-level density of states   3.12 states/eV/f.u.
DFT formation energy   -2.1 eV/f.u.

=====

Entry 9:
MgNiGeRu after structural relaxation, computed with GGA-PBE.

a b c (Å): 4.250 4.250 4.250
angles (deg): 60.00 60.00 60.00
Element x y z (fractional)
Mg1 0.000 0.000 0.000
Ni1 0.750 0.750 0.750
Ge1 0.500 0.500 0.500
Ru1 0.250 0.250 0.250

Fermi-level density of states   1.15 states/eV/f.u.
DFT formation energy   -1.0 eV/f.u.

=====

Entry 10:
MgScNiGe2 after structural relaxation, computed with GGA-PBE.

a b c (Å): 4.599 4.599 4.789
angles (deg): 90.00 90.00 90.00
Element x y z (fractional)
Mg1 0.000 0.000 0.000
Sc1 0.500 0.500 0.000
Ni1 0.500 0.500 0.500
Ge1 0.000 0.500 0.500
Ge2 0.500 0.000 0.500

Fermi-level density of states   4.10 states/eV/f.u.
DFT formation energy   -0.2 eV/f.u.

=====

Entry 11:
Mg3SiNi9Ge2 after structural relaxation, computed with GGA-PBE.

a b c (Å): 6.010 6.010 7.791
angles (deg): 90.00 90.00 120.00
Element x y z (fractional)
Mg1 0.000 0.000 0.000
Mg2 0.333 0.667 0.721
Mg3 0.667 0.333 0.279
Si1 0.000 0.000 0.500
Ni1 0.000 0.500 0.000
Ni2 0.132 0.263 0.273
Ni3 0.132 0.868 0.273
Ni4 0.263 0.132 0.727
Ni5 0.500 0.000 0.000
Ni6 0.500 0.500 0.000
Ni7 0.737 0.868 0.273
Ni8 0.868 0.132 0.727
Ni9 0.868 0.737 0.727
Ge1 0.333 0.667 0.196
Ge2 0.667 0.333 0.804

Fermi-level density of states   8.29 states/eV/f.u.
Raw formation energy   0.04 eV per atom

=====

Entry 12:
SmMgNi5Ge2 after structural relaxation, computed with GGA-PBE.

a b c (Å): 4.009 4.009 8.583
angles (deg): 90.00 90.00 90.00
Element x y z (fractional)
Sm1 0.000 0.000 0.000
Mg1 0.000 0.000 0.500
Ni1 0.000 0.500 0.225
Ni2 0.000 0.500 0.775
Ni3 0.500 0.000 0.225
Ni4 0.500 0.000 0.775
Ni5 0.500 0.500 0.000
Ge1 0.500 0.500 0.358
Ge2 0.500 0.500 0.642

Fermi-level density of states   4.40 states/eV/f.u.
DFT formation energy   -2.0 eV/f.u.